Record 1
The following is a PBE calculation of an optimized crystal structure of La8SnOs3Br4, from Alexandria.

Geometry as extended XYZ:
```
16
Lattice="4.325 2.497 7.781 -4.325 2.497 7.781 0.000 -4.995 7.781" Properties=species:S:1:pos:R:3 pbc="T T T"
La -2.345 -1.354 13.201
La 0.000 0.000 5.488
La 0.000 -2.708 10.142
La -2.345 1.354 10.142
La 2.345 -1.354 13.201
La 0.000 2.708 13.201
La 0.000 0.000 17.855
La 2.345 1.354 10.142
Sn 0.000 0.000 11.672
Os -4.325 0.000 11.672
Os -2.163 1.249 3.891
Os 2.163 1.249 3.891
Br 0.000 0.000 0.000
Br -2.163 -1.249 7.781
Br -2.163 1.249 15.562
Br 0.000 2.497 7.781
```


Record 2
The following is a PBE calculation of an optimized crystal structure of La6SnOs2Br3, from Alexandria.

Geometry as extended XYZ:
```
12
Lattice="9.995 -2.152 0.000 9.995 2.152 0.000 -2.765 0.000 8.917" Properties=species:S:1:pos:R:3 pbc="T T T"
La -0.178 0.000 2.312
La 5.163 0.000 3.902
La 4.260 0.000 7.707
La 12.965 0.000 1.210
La 12.063 0.000 5.016
La 17.404 0.000 6.605
Sn 9.995 0.000 0.000
Os 2.415 0.000 3.054
Os 14.811 0.000 5.863
Br 0.973 0.000 7.509
Br 8.613 0.000 4.459
Br 16.253 0.000 1.409
```


Record 3
The following is a PBE calculation of an optimized crystal structure of La6TcOs2Br3, from Alexandria.

Geometry as extended XYZ:
```
12
Lattice="3.653 -6.326 0.000 3.653 6.326 0.000 -2.435 0.000 7.799" Properties=species:S:1:pos:R:3 pbc="T T T"
La 1.214 2.102 1.518
La -0.006 0.000 6.279
La 1.214 -2.102 1.518
La 3.657 2.102 6.281
La 4.877 0.000 1.520
La 3.657 -2.102 6.281
Tc 0.000 0.000 0.000
Os 3.653 2.110 0.000
Os 3.653 -2.110 0.000
Br 2.435 4.241 3.899
Br 2.435 0.000 3.899
Br 2.435 -4.241 3.899
```


Record 4
The following is a PBE calculation of an optimized crystal structure of La4TeOsBr2, from Alexandria.

Geometry as extended XYZ:
```
8
Lattice="7.840 0.000 0.000 0.000 4.291 0.000 -2.342 0.000 7.670" Properties=species:S:1:pos:R:3 pbc="T T T"
La 1.144 0.000 1.576
La -0.120 2.145 5.993
La 5.619 2.145 1.677
La 4.355 0.000 6.094
Te -1.171 0.000 3.835
Os 0.000 2.145 0.000
Br 3.920 0.000 0.000
Br 2.749 2.145 3.835
```


Record 5
The following is a PBE calculation of an optimized crystal structure of La8TeOs3Br4, from Alexandria.

Geometry as extended XYZ:
```
16
Lattice="7.526 -4.346 0.000 7.526 4.346 0.000 -5.015 0.000 7.724" Properties=species:S:1:pos:R:3 pbc="T T T"
La 3.646 2.383 5.402
La -0.001 0.000 5.428
La 2.268 0.000 2.331
La 6.391 2.383 2.321
La 3.646 -2.383 5.402
La 7.770 0.000 5.393
La 10.038 0.000 2.295
La 6.391 -2.383 2.321
Te 5.019 0.000 3.862
Os -2.508 0.000 3.862
Os 1.256 2.173 3.862
Os 1.256 -2.173 3.862
Br 0.000 0.000 0.000
Br 3.763 2.173 0.000
Br 3.763 -2.173 0.000
Br 7.526 0.000 0.000
```


Record 6
The following is a PBE calculation of an optimized crystal structure of LaThOsBr, from Alexandria.

Geometry as extended XYZ:
```
12
Lattice="4.169 0.000 0.000 -2.084 3.610 0.000 0.000 0.000 24.095" Properties=species:S:1:pos:R:3 pbc="T T T"
La 0.000 0.000 0.000
La 0.000 2.407 16.063
La 2.084 1.203 8.032
Th 0.000 0.000 19.085
Th 0.000 2.407 11.054
Th 2.084 1.203 3.022
Os 0.000 0.000 9.660
Os 0.000 2.407 1.628
Os 2.084 1.203 17.692
Br 0.000 0.000 5.508
Br 0.000 2.407 21.571
Br 2.084 1.203 13.539
```


Record 7
The following is a PBE calculation of an optimized crystal structure of La6TlOs2Br3, from Alexandria.

Geometry as extended XYZ:
```
12
Lattice="10.226 -2.105 0.000 10.226 2.105 0.000 -2.744 0.000 9.039" Properties=species:S:1:pos:R:3 pbc="T T T"
La -0.078 0.000 2.451
La 5.288 0.000 3.907
La 4.448 0.000 7.794
La 13.259 0.000 1.245
La 12.419 0.000 5.133
La 17.785 0.000 6.588
Tl 10.226 0.000 0.000
Os 2.507 0.000 3.123
Os 15.200 0.000 5.916
Br 1.159 0.000 7.626
Br 8.854 0.000 4.520
Br 16.548 0.000 1.413
```


Record 8
The following is a PBE calculation of an optimized crystal structure of LaPBr, from Alexandria.

Geometry as extended XYZ:
```
6
Lattice="3.983 0.000 0.000 0.000 3.983 0.000 0.000 0.000 10.678" Properties=species:S:1:pos:R:3 pbc="T T T"
La 0.000 0.000 0.000
La 1.992 1.992 5.339
P 0.000 0.000 6.247
P 1.992 1.992 0.908
Br 0.000 0.000 3.330
Br 1.992 1.992 8.669
```

## Properties
Polymorph energy (0 for the lowest one): 47.5 kJ per mole of atoms


Record 9
The following is a PBE calculation of an optimized crystal structure of La2PBr, from Alexandria.

Geometry as extended XYZ:
```
16
Lattice="7.377 0.000 0.000 0.000 7.377 0.000 0.000 0.000 7.377" Properties=species:S:1:pos:R:3 pbc="T T T"
La 1.844 1.844 1.844
La 1.844 1.844 5.533
La 1.844 5.533 1.844
La 1.844 5.533 5.533
La 5.533 1.844 1.844
La 5.533 1.844 5.533
La 5.533 5.533 1.844
La 5.533 5.533 5.533
P 0.000 0.000 0.000
P 0.000 3.689 3.689
P 3.689 0.000 3.689
P 3.689 3.689 0.000
Br 0.000 0.000 3.689
Br 0.000 3.689 0.000
Br 3.689 0.000 0.000
Br 3.689 3.689 3.689
```


Record 10
The following is a PBE calculation of an optimized crystal structure of La2PBr, from Alexandria.

Geometry as extended XYZ:
```
8
Lattice="4.507 0.000 0.000 0.000 4.024 0.000 0.000 0.000 12.089" Properties=species:S:1:pos:R:3 pbc="T T T"
La 0.000 0.000 0.000
La 0.000 2.012 6.044
La 2.253 0.000 3.256
La 2.253 2.012 9.300
P 2.253 0.000 6.293
P 2.253 2.012 0.249
Br 0.000 0.000 9.089
Br 0.000 2.012 3.044
```


Record 11
The following is a PBE calculation of an optimized crystal structure of LaPBr2, from Alexandria.

Geometry as extended XYZ:
```
8
Lattice="4.077 0.000 0.000 0.000 4.449 0.000 0.000 0.000 15.550" Properties=species:S:1:pos:R:3 pbc="T T T"
La 0.000 0.000 0.000
La 2.038 2.224 7.775
P 0.000 0.000 7.775
P 2.038 2.224 0.000
Br 0.000 2.224 5.460
Br 0.000 2.224 10.090
Br 2.038 0.000 2.315
Br 2.038 0.000 13.235
```

## Properties
Polymorph energy (0 for the lowest one): 23.4 kJ per mole of atoms


Record 12
The following is a PBE calculation of an optimized crystal structure of La2PBr, from Alexandria.

Geometry as extended XYZ:
```
12
Lattice="4.182 0.000 0.000 -2.091 3.622 0.000 0.000 0.000 23.054" Properties=species:S:1:pos:R:3 pbc="T T T"
La 0.000 0.000 0.000
La 0.000 0.000 4.527
La 0.000 2.414 15.370
La 0.000 2.414 19.897
La 2.091 1.207 7.685
La 2.091 1.207 12.212
P 0.000 0.000 13.768
P 0.000 2.414 6.084
P 2.091 1.207 21.453
Br 0.000 0.000 17.658
Br 0.000 2.414 9.974
Br 2.091 1.207 2.289
```


Record 13
The following is a PBE calculation of an optimized crystal structure of La7PBr12, from Alexandria.

Geometry as extended XYZ:
```
20
Lattice="7.752 4.476 3.482 -7.752 4.476 3.482 0.000 -8.951 3.482" Properties=species:S:1:pos:R:3 pbc="T T T"
La 0.000 0.000 0.000
La -2.237 -0.591 3.637
La 1.630 -1.642 3.637
La 0.607 2.233 3.637
La -0.607 -2.233 6.810
La -1.630 1.642 6.810
La 2.237 0.591 6.810
P 0.000 0.000 5.223
Br -0.645 -2.389 1.690
Br -1.747 1.753 1.690
Br -3.034 -3.076 5.183
Br -4.181 1.090 5.263
Br 2.392 0.636 1.690
Br 1.146 -4.166 5.263
Br -1.146 4.165 5.183
Br -2.392 -0.636 8.757
Br 4.181 -1.090 5.183
Br 3.034 3.076 5.263
Br 1.747 -1.753 8.757
Br 0.645 2.389 8.757
```


Record 14
The following is a PBE calculation of an optimized crystal structure of LaPBr2, from Alexandria.

Geometry as extended XYZ:
```
8
Lattice="4.621 0.000 0.000 0.000 4.621 0.000 0.000 0.000 9.434" Properties=species:S:1:pos:R:3 pbc="T T T"
La 0.000 0.000 0.000
La 2.310 2.310 4.717
P 0.000 0.000 4.717
P 2.310 2.310 0.000
Br 0.000 2.310 2.358
Br 0.000 2.310 7.075
Br 2.310 0.000 2.358
Br 2.310 0.000 7.075
```

## Properties
Polymorph energy (0 for the lowest one): 40.8 kJ per mole of atoms


Record 15
The following is a PBE calculation of an optimized crystal structure of LaPBr, from Alexandria.

Geometry as extended XYZ:
```
12
Lattice="6.983 0.000 0.000 0.000 6.983 0.000 0.000 0.000 6.983" Properties=species:S:1:pos:R:3 pbc="T T T"
La 0.000 0.000 0.000
La 0.000 3.491 3.491
La 3.491 0.000 3.491
La 3.491 3.491 0.000
P 1.746 1.746 1.746
P 1.746 5.237 5.237
P 5.237 1.746 5.237
P 5.237 5.237 1.746
Br 0.000 0.000 3.491
Br 0.000 3.491 0.000
Br 3.491 0.000 0.000
Br 3.491 3.491 3.491
```

## Properties
Polymorph energy (0 for the lowest one): 79.2 kJ per mole of atoms


Record 16
The following is a PBE calculation of an optimized crystal structure of LaPBr, from Alexandria.

Geometry as extended XYZ:
```
12
Lattice="6.931 0.000 0.000 0.000 6.931 0.000 0.000 0.000 6.931" Properties=species:S:1:pos:R:3 pbc="T T T"
La 0.000 0.000 0.000
La 0.000 3.466 3.466
La 3.466 0.000 3.466
La 3.466 3.466 0.000
P 0.000 0.000 3.466
P 0.000 3.466 0.000
P 3.466 0.000 0.000
P 3.466 3.466 3.466
Br 1.733 1.733 5.199
Br 1.733 5.199 1.733
Br 5.199 1.733 1.733
Br 5.199 5.199 5.199
```

## Properties
Polymorph energy (0 for the lowest one): 89.8 kJ per mole of atoms


Record 17
The following is a PBE calculation of an optimized crystal structure of La4PBr5, from Alexandria.

Geometry as extended XYZ:
```
10
Lattice="9.471 -2.110 0.000 9.471 2.110 0.000 -2.087 0.000 8.487" Properties=species:S:1:pos:R:3 pbc="T T T"
La 18.470 0.000 1.881
La -1.616 0.000 6.607
La 4.687 0.000 7.775
La 12.167 0.000 0.712
P 9.471 0.000 0.000
Br 2.443 0.000 2.883
Br 1.497 0.000 7.100
Br 8.427 0.000 4.244
Br 15.357 0.000 1.387
Br 14.411 0.000 5.605
```


Record 18
The following is a PBE calculation of an optimized crystal structure of LaPBr2, from Alexandria.

Geometry as extended XYZ:
```
8
Lattice="4.388 0.000 0.000 0.000 4.388 0.000 0.000 0.000 10.218" Properties=species:S:1:pos:R:3 pbc="T T T"
La 0.000 0.000 0.000
La 2.194 2.194 5.109
P 0.000 2.194 7.663
P 2.194 0.000 2.554
Br 0.000 0.000 5.109
Br 0.000 2.194 2.554
Br 2.194 0.000 7.663
Br 2.194 2.194 0.000
```

## Properties
Polymorph energy (0 for the lowest one): 40.8 kJ per mole of atoms


Record 19
The following is a PBE calculation of an optimized crystal structure of LaPBr3, from Alexandria.

Geometry as extended XYZ:
```
5
Lattice="5.893 0.000 0.000 0.000 5.893 0.000 0.000 0.000 5.893" Properties=species:S:1:pos:R:3 pbc="T T T"
La 0.000 0.000 0.000
P 2.946 2.946 2.946
Br 0.000 0.000 2.946
Br 0.000 2.946 0.000
Br 2.946 0.000 0.000
```


Record 20
The following is a PBE calculation of an optimized crystal structure of LaPBr, from Alexandria.

Geometry as extended XYZ:
```
3
Lattice="4.550 0.000 0.000 -2.275 3.940 0.000 0.000 0.000 6.431" Properties=species:S:1:pos:R:3 pbc="T T T"
La 0.000 0.000 0.000
P 2.275 1.313 1.151
Br 0.000 2.627 4.655
```

## Properties
Polymorph energy (0 for the lowest one): 54.3 kJ per mole of atoms


Record 21
The following is a PBE calculation of an optimized crystal structure of La3PBr3, from Alexandria.

Geometry as extended XYZ:
```
28
Lattice="-6.053 6.053 6.053 6.053 -6.053 6.053 6.053 6.053 -6.053" Properties=species:S:1:pos:R:3 pbc="T T T"
La 1.668 1.513 -1.359
La 7.412 1.668 -1.513
La 1.513 -1.359 1.668
La 4.695 4.385 -1.513
La 4.385 1.513 1.359
La -1.359 1.668 1.513
La 4.385 -1.513 4.695
La 1.513 1.359 4.385
La 1.359 4.385 1.513
La 1.668 -1.513 7.412
La -1.513 7.412 1.668
La -1.513 4.695 4.385
P 4.540 1.513 -1.513
P 1.513 1.513 1.513
P 1.513 -1.513 4.540
P -1.513 4.540 1.513
Br 7.567 1.439 1.587
Br 7.567 -1.439 4.466
Br 4.466 7.567 -1.439
Br 4.614 1.587 4.540
Br 4.540 4.614 1.587
Br 1.587 7.567 1.439
Br 7.493 4.466 4.540
Br 1.587 4.540 4.614
Br 1.439 1.587 7.567
Br 4.540 7.493 4.466
Br -1.439 4.466 7.567
Br 4.466 4.540 7.493
```


Record 22
The following is a PBE calculation of an optimized crystal structure of LaPBr, from Alexandria.

Geometry as extended XYZ:
```
12
Lattice="7.119 0.000 0.000 0.000 7.119 0.000 0.000 0.000 7.119" Properties=species:S:1:pos:R:3 pbc="T T T"
La 0.000 0.000 0.000
La 0.000 3.560 3.560
La 3.560 0.000 3.560
La 3.560 3.560 0.000
P 1.780 1.780 1.780
P 1.780 5.340 5.340
P 5.340 1.780 5.340
P 5.340 5.340 1.780
Br 1.780 1.780 5.340
Br 1.780 5.340 1.780
Br 5.340 1.780 1.780
Br 5.340 5.340 5.340
```

## Properties
Polymorph energy (0 for the lowest one): 51.9 kJ per mole of atoms


Record 23
The following is a PBE calculation of an optimized crystal structure of LaPBr2, from Alexandria.

Geometry as extended XYZ:
```
8
Lattice="9.354 0.000 0.000 0.000 4.295 0.000 -0.772 0.000 7.393" Properties=species:S:1:pos:R:3 pbc="T T T"
La 0.000 0.000 0.000
La 4.677 2.147 0.000
P 2.093 0.000 6.789
P 6.770 2.147 6.789
Br 1.131 2.147 1.895
Br 3.583 0.000 5.010
Br 5.808 0.000 1.895
Br 8.260 2.147 5.010
```

## Properties
Polymorph energy (0 for the lowest one): 10.4 kJ per mole of atoms


Record 24
The following is a PBE calculation of an optimized crystal structure of LaPBr2, from Alexandria.

Geometry as extended XYZ:
```
4
Lattice="4.134 0.000 0.000 0.000 4.682 0.000 0.000 0.000 5.153" Properties=species:S:1:pos:R:3 pbc="T T T"
La 0.000 0.000 0.000
P 2.067 0.000 2.577
Br 0.000 2.341 2.577
Br 2.067 2.341 0.000
```

## Properties
Polymorph energy (0 for the lowest one): 40.2 kJ per mole of atoms


Record 25
The following is a PBE calculation of an optimized crystal structure of LaPBr2, from Alexandria.

Geometry as extended XYZ:
```
12
Lattice="4.234 0.000 0.000 -2.117 3.667 0.000 0.000 0.000 29.778" Properties=species:S:1:pos:R:3 pbc="T T T"
La 0.000 0.000 0.000
La 0.000 2.444 19.852
La 2.117 1.222 9.926
P 0.000 0.000 14.889
P 0.000 2.444 4.963
P 2.117 1.222 24.815
Br 0.000 0.000 8.110
Br 0.000 0.000 21.668
Br 0.000 2.444 11.742
Br 0.000 2.444 27.963
Br 2.117 1.222 1.816
Br 2.117 1.222 18.036
```

## Properties
Polymorph energy (0 for the lowest one): 77.7 kJ per mole of atoms


no.,D(E_F) (states/eV/f.u.),size of the total moment (μB per atom),formation energy (no corrections) (eV per atom)
1,10.7,0.00,-0.883
2,8.2,0.00,-0.938
3,5.7,0.00,-0.709
4,7.1,0.00,-1.143
5,13.0,0.00,-0.979
6,1.4,0.00,-0.826
7,6.6,0.00,-0.858
8,1.5,0.24,-1.039
9,5.3,0.00,-1.309
10,3.4,0.00,-1.290
11,3.0,0.00,-0.993
12,1.5,0.00,-1.578
13,5.5,0.01,-1.838
14,2.4,0.08,-0.813
15,4.2,0.00,-0.710
16,5.1,0.00,-0.600
17,4.4,0.00,-1.770
18,1.1,0.00,-0.812
19,0.0,0.60,-0.837
20,2.0,0.34,-0.968
21,2.8,0.00,-1.746
22,3.7,0.34,-0.993
23,0.0,0.00,-1.128
24,1.8,0.00,-0.819
25,3.3,0.58,-0.430